Record 1
# KVPdCl6, relaxed, DFT PBE-GGA
# Uncorrected energy (eV per atom): -4.02
# Fermi-level density of states (states/eV/cell): 10.544
# Raw formation energy (eV per atom): -1.08
data_KVPdCl6
_cell_length_a 6.4460
_cell_length_b 6.4460
_cell_length_c 6.9682
_cell_angle_alpha 90.00
_cell_angle_beta 90.00
_cell_angle_gamma 120.00
_space_group_name_H-M_alt 'P 3 1 2'
_space_group_IT_number 149
loop_
_space_group_symop_operation_xyz
'x,y,z'
'-y,x-y,z'
'-x+y,-x,z'
'-y,-x,-z'
'-x+y,y,-z'
'x,x-y,-z'
loop_
_atom_site_label
_atom_site_type_symbol
_atom_site_fract_x
_atom_site_fract_y
_atom_site_fract_z
_atom_site_occupancy
K1 K 0.0000 0.0000 0.0000 1
V1 V 0.3333 0.6667 0.5000 1
Pd1 Pd 0.6667 0.3333 0.5000 1
Cl1 Cl 0.0161 0.3768 0.3017 1

---

Record 2
# CuPb2F6, relaxed, DFT PBE-GGA
# Uncorrected energy (eV per atom): -4.58
# Fermi-level density of states (states/eV/cell): 2.535
# Raw formation energy (eV per atom): -2.05
# Energy above the lowest structure with this stoichiometry (meV/atom): 31
data_CuPb2F6
_cell_length_a 5.396
_cell_length_b 5.396
_cell_length_c 10.937
_cell_angle_alpha 90.00
_cell_angle_beta 90.00
_cell_angle_gamma 90.00
_space_group_name_H-M_alt 'P 42/m n m'
_space_group_IT_number 136
_space_group_name_Hall '-P 4n 2n'
loop_
_atom_site_label
_atom_site_type_symbol
_atom_site_fract_x
_atom_site_fract_y
_atom_site_fract_z
_atom_site_occupancy
Cu1 Cu 0.000 0.000 0.000 1
Pb1 Pb 0.000 0.000 0.335 1
F1 F 0.180 0.180 0.158 1
F2 F 0.248 0.752 0.000 1

---

Record 3
# Pu3S, relaxed, DFT PBE-GGA
# Uncorrected energy (eV per atom): -12.06
# Fermi-level density of states (states/eV/cell): 16.016
# Raw formation energy (eV per atom): -0.28
# Energy above the lowest structure with this stoichiometry (meV/atom): 183
data_Pu3S
_cell_length_a 4.438
_cell_length_b 4.438
_cell_length_c 4.438
_cell_angle_alpha 90.00
_cell_angle_beta 90.00
_cell_angle_gamma 90.00
_space_group_name_H-M_alt 'P m -3 m'
_space_group_IT_number 221
_space_group_name_Hall '-P 4 2 3'
loop_
_atom_site_label
_atom_site_type_symbol
_atom_site_fract_x
_atom_site_fract_y
_atom_site_fract_z
_atom_site_occupancy
Pu1 Pu 0.000 0.000 0.500 1
S1 S 0.500 0.500 0.500 1